! Pm4Nd3YS8, optimized geometry, DFT PBE-GGA; values from VASP
! formation energy (no corrections) = -2.02 eV/atom
! DOS(E_F) = 0.57 states/eV per atom
&SYSTEM
  ibrav = 0, nat = 16, ntyp = 4
/
ATOMIC_SPECIES
S 32.06 S.upf
Pm 145.00 Pm.upf
Nd 144.24 Nd.upf
Y 88.91 Y.upf
CELL_PARAMETERS angstrom
-6.237 4.332 2.740
-3.212 0.056 -7.399
1.905 -7.009 3.523
ATOMIC_POSITIONS angstrom
S -4.545 -0.282 1.994
S -6.148 -0.224 -1.747
S -3.931 1.091 -4.853
S -1.396 -2.397 0.611
S -0.428 -5.924 2.318
S -7.116 3.303 -3.454
S -3.613 -3.712 3.718
S -2.999 -2.339 -3.129
Pm 0.000 0.000 0.000
Pm 0.953 -3.504 1.761
Pm -3.119 2.166 1.370
Pm -2.166 -1.339 3.132
Nd -0.653 -3.476 -1.938
Nd -4.724 2.194 -2.329
Nd -3.772 -1.310 -0.568
Y -1.606 0.028 -3.700

=====

! LiSc2W2, optimized geometry, DFT PBE-GGA; values from VASP
! polymorph energy (0 for the lowest one) = 2 kJ/mol of formula units
! ΔH_f (0 K) = 542 meV/atom
! DOS(E_F) = 0.96 states/eV per atom
&SYSTEM
  ibrav = 0, nat = 10, ntyp = 3
/
ATOMIC_SPECIES
Li 6.94 Li.upf
Sc 44.96 Sc.upf
W 183.84 W.upf
CELL_PARAMETERS angstrom
8.484 0.000 0.000
0.000 8.484 0.000
0.000 0.000 2.889
ATOMIC_POSITIONS angstrom
Li 0.000 0.000 0.000
Li 4.242 4.242 0.000
Sc 2.616 6.858 0.000
Sc 5.869 1.626 0.000
Sc 6.858 5.869 0.000
Sc 1.626 2.616 0.000
W 5.108 7.618 1.444
W 0.866 5.108 1.444
W 7.618 3.376 1.444
W 3.376 0.866 1.444

=====

! HgBrCl2, optimized geometry, DFT PBE-GGA; values from VASP
! polymorph energy (0 for the lowest one) = 101 kJ/mol of formula units
! formation energy (no corrections) = 0.01 eV/atom
! DOS(E_F) = 0.41 states/eV per atom
&SYSTEM
  ibrav = 0, nat = 4, ntyp = 3
/
ATOMIC_SPECIES
Hg 200.59 Hg.upf
Cl 35.45 Cl.upf
Br 79.90 Br.upf
CELL_PARAMETERS angstrom
3.929 0.014 0.000
0.012 7.213 0.000
0.000 0.000 3.996
ATOMIC_POSITIONS angstrom
Hg 1.964 0.007 1.998
Cl 0.000 0.000 0.000
Cl 1.970 3.613 0.000
Br 0.006 3.606 1.998

=====

! BaNbFePd2, optimized geometry, DFT PBE-GGA; values from VASP
! ΔH_f (0 K) = 1281 meV/atom
! DOS(E_F) = 1.84 states/eV per atom
&SYSTEM
  ibrav = 0, nat = 5, ntyp = 4
/
ATOMIC_SPECIES
Nb 92.91 Nb.upf
Fe 55.84 Fe.upf
Pd 106.42 Pd.upf
Ba 137.33 Ba.upf
CELL_PARAMETERS angstrom
4.908 0.000 0.000
0.000 5.846 0.000
0.000 0.000 4.908
ATOMIC_POSITIONS angstrom
Nb 0.000 0.000 0.000
Fe 2.454 2.923 2.454
Pd 2.454 0.000 0.000
Pd 0.000 0.000 2.454
Ba 0.000 2.923 0.000

=====

! Mn2AsW, optimized geometry, DFT PBE-GGA; values from VASP
! ΔH_f (0 K) = 147 meV/atom
! DOS(E_F) = 0.71 states/eV per atom
&SYSTEM
  ibrav = 0, nat = 4, ntyp = 3
/
ATOMIC_SPECIES
W 183.84 W.upf
As 74.92 As.upf
Mn 54.94 Mn.upf
CELL_PARAMETERS angstrom
-2.360 -3.153 2.733
1.503 -4.513 -0.591
1.686 4.325 1.194
ATOMIC_POSITIONS angstrom
W -0.551 -1.330 2.499
As 1.380 -2.011 0.837
Mn -0.423 -3.780 1.056
Mn -0.006 -0.053 0.015

=====

! Sm2TlI, optimized geometry, DFT PBE-GGA; values from VASP
! polymorph energy (0 for the lowest one) = 19 kJ/mol of formula units
! formation energy (no corrections) = -0.54 eV/atom
! DOS(E_F) = 1.03 states/eV per atom
&SYSTEM
  ibrav = 0, nat = 4, ntyp = 3
/
ATOMIC_SPECIES
Sm 150.36 Sm.upf
I 126.90 I.upf
Tl 204.38 Tl.upf
CELL_PARAMETERS angstrom
-2.866 -1.141 2.096
-1.059 -2.328 -2.715
4.847 -6.077 3.319
ATOMIC_POSITIONS angstrom
Sm 1.156 -1.449 0.791
Sm 3.691 -4.628 2.527
I 0.461 -4.773 1.350
Tl -1.963 -1.735 -0.309

=====

Q: Among the records above, which one has the highest DOS(E_F)?
A: BaNbFePd2